No. 1
A relaxed Pm2AlSe crystal, computed with PBE-GGA.

CIF file:
```
data_Pm2AlSe
_chemical_formula_sum 'Pm6 Al3 Se3'
_cell_length_a 3.9849
_cell_length_b 3.9849
_cell_length_c 24.4671
_cell_angle_alpha 90.00
_cell_angle_beta 90.00
_cell_angle_gamma 120.00
_symmetry_space_group_name_H-M 'R 3 m'
_symmetry_Int_Tables_number 160
_symmetry_space_group_name_Hall 'R 3 -2"'
loop_
_atom_site_label
_atom_site_fract_x
_atom_site_fract_y
_atom_site_fract_z
Pm1 0.0000 0.0000 0.0000
Pm2 0.0000 0.0000 0.1826
Al1 0.0000 0.0000 0.4240
Se1 0.0000 0.0000 0.5926
```

Its offset from the most stable computed form is 218 meV per atom.

---

No. 2
A relaxed Pm2AlSe crystal, computed with PBE-GGA.

CIF file:
```
data_Pm2AlSe
_chemical_formula_sum 'Pm2 Al1 Se1'
_cell_length_a 3.5505
_cell_length_b 3.5505
_cell_length_c 7.9905
_cell_angle_alpha 90.00
_cell_angle_beta 90.00
_cell_angle_gamma 90.00
_symmetry_space_group_name_H-M 'P 4/m m m'
_symmetry_Int_Tables_number 123
_symmetry_space_group_name_Hall '-P 4 2'
loop_
_atom_site_label
_atom_site_fract_x
_atom_site_fract_y
_atom_site_fract_z
Pm1 0.0000 0.0000 0.2382
Al1 0.5000 0.5000 0.5000
Se1 0.5000 0.5000 0.0000
```

Its offset from the most stable computed form is 230 meV per atom.

---

No. 3
A relaxed Pm3AlSe6 crystal, computed with PBE-GGA.

CIF file:
```
data_Pm3AlSe6
_chemical_formula_sum 'Pm12 Al4 Se24'
_cell_length_a 11.4463
_cell_length_b 14.2153
_cell_length_c 6.8964
_cell_angle_alpha 90.00
_cell_angle_beta 90.00
_cell_angle_gamma 90.00
_symmetry_space_group_name_H-M 'C m c 21'
_symmetry_Int_Tables_number 36
loop_
_symmetry_equiv_pos_as_xyz
'x,y,z'
'-x,-y,z+1/2'
'-x,y,z'
'x,-y,z+1/2'
'x+1/2,y+1/2,z'
'-x+1/2,-y+1/2,z+1/2'
'-x+1/2,y+1/2,z'
'x+1/2,-y+1/2,z+1/2'
loop_
_atom_site_label
_atom_site_fract_x
_atom_site_fract_y
_atom_site_fract_z
Pm1 0.0000 0.0986 0.0000
Pm2 0.1831 0.4013 0.0981
Al1 0.0000 0.2996 0.6373
Se1 0.0000 0.2816 0.2898
Se2 0.0000 0.4585 0.7753
Se3 0.1623 0.0311 0.2984
Se4 0.1654 0.2354 0.8074
```

---

No. 4
A relaxed PmAl4Se8 crystal, computed with PBE-GGA.

CIF file:
```
data_PmAl4Se8
_chemical_formula_sum 'Pm4 Al16 Se32'
_cell_length_a 10.9770
_cell_length_b 10.9770
_cell_length_c 10.9770
_cell_angle_alpha 90.00
_cell_angle_beta 90.00
_cell_angle_gamma 90.00
_symmetry_space_group_name_H-M 'F -4 3 m'
_symmetry_Int_Tables_number 216
_symmetry_space_group_name_Hall 'F -4 2 3'
loop_
_atom_site_label
_atom_site_fract_x
_atom_site_fract_y
_atom_site_fract_z
Pm1 0.0000 0.0000 0.0000
Al1 0.1167 0.1167 0.6167
Se1 0.1170 0.1170 0.3830
Se2 0.1435 0.1435 0.8565
```

---

No. 5
A relaxed PmAlSe2 crystal, computed with PBE-GGA.

CIF file:
```
data_PmAlSe2
_chemical_formula_sum 'Pm3 Al3 Se6'
_cell_length_a 3.7650
_cell_length_b 3.7650
_cell_length_c 25.8655
_cell_angle_alpha 90.00
_cell_angle_beta 90.00
_cell_angle_gamma 120.00
_symmetry_space_group_name_H-M 'R -3 m'
_symmetry_Int_Tables_number 166
_symmetry_space_group_name_Hall '-R 3 2"'
loop_
_atom_site_label
_atom_site_fract_x
_atom_site_fract_y
_atom_site_fract_z
Pm1 0.0000 0.0000 0.0000
Al1 0.0000 0.0000 0.5000
Se1 0.0000 0.0000 0.1123
```

---

No. 6
A relaxed Pm3AlSe2 crystal, computed with PBE-GGA.

CIF file:
```
data_Pm3AlSe2
_chemical_formula_sum 'Pm6 Al2 Se4'
_cell_length_a 4.1237
_cell_length_b 6.0121
_cell_length_c 13.1591
_cell_angle_alpha 90.00
_cell_angle_beta 90.00
_cell_angle_gamma 90.00
_symmetry_space_group_name_H-M 'I m m m'
_symmetry_Int_Tables_number 71
_symmetry_space_group_name_Hall '-I 2 2'
loop_
_atom_site_label
_atom_site_fract_x
_atom_site_fract_y
_atom_site_fract_z
Pm1 0.0000 0.0000 0.0000
Pm2 0.0000 0.0000 0.3283
Al1 0.0000 0.5000 0.0000
Se1 0.0000 0.5000 0.3341
```

---

No. 7
A relaxed PmAlSe3 crystal, computed with PBE-GGA.

CIF file:
```
data_PmAlSe3
_chemical_formula_sum 'Pm4 Al4 Se12'
_cell_length_a 7.2999
_cell_length_b 7.1249
_cell_length_c 10.3232
_cell_angle_alpha 90.00
_cell_angle_beta 90.00
_cell_angle_gamma 90.00
_symmetry_space_group_name_H-M 'P n a 21'
_symmetry_Int_Tables_number 33
loop_
_symmetry_equiv_pos_as_xyz
'x,y,z'
'-x,-y,z+1/2'
'-x+1/2,y+1/2,z+1/2'
'x+1/2,-y+1/2,z'
loop_
_atom_site_label
_atom_site_fract_x
_atom_site_fract_y
_atom_site_fract_z
Pm1 0.1157 0.0872 0.0000
Al1 0.2073 0.6438 0.1463
Se1 0.0606 0.3053 0.5071
Se2 0.1862 0.8364 0.6859
Se3 0.1975 0.8466 0.3286
```

Its offset from the most stable computed form is 0 meV per atom.

---

No. 8
A relaxed Pm2Al2Se5 crystal, computed with PBE-GGA.

CIF file:
```
data_Pm2Al2Se5
_chemical_formula_sum 'Pm4 Al4 Se10'
_cell_length_a 14.1555
_cell_length_b 5.0123
_cell_length_c 7.5321
_cell_angle_alpha 90.00
_cell_angle_beta 119.92
_cell_angle_gamma 90.00
_symmetry_space_group_name_H-M 'C 1 2/m 1'
_symmetry_Int_Tables_number 12
loop_
_symmetry_equiv_pos_as_xyz
'x,y,z'
'-x,-y,-z'
'-x,y,-z'
'x,-y,z'
'x+1/2,y+1/2,z'
'-x+1/2,-y+1/2,-z'
'-x+1/2,y+1/2,-z'
'x+1/2,-y+1/2,z'
loop_
_atom_site_label
_atom_site_fract_x
_atom_site_fract_y
_atom_site_fract_z
Pm1 0.1169 0.0000 0.2810
Al1 0.1487 0.5000 0.8687
Se1 0.0000 0.5000 0.0000
Se2 0.1389 0.0000 0.9066
Se3 0.1455 0.5000 0.5343
```

---

No. 9
A relaxed Pm3Al5Se12 crystal, computed with PBE-GGA.

CIF file:
```
data_Pm3Al5Se12
_chemical_formula_sum 'Pm24 Al40 Se96'
_cell_length_a 15.8990
_cell_length_b 15.8990
_cell_length_c 15.8990
_cell_angle_alpha 90.00
_cell_angle_beta 90.00
_cell_angle_gamma 90.00
_symmetry_space_group_name_H-M 'I a -3 d'
_symmetry_Int_Tables_number 230
_symmetry_space_group_name_Hall '-I 4bd 2c 3'
loop_
_atom_site_label
_atom_site_fract_x
_atom_site_fract_y
_atom_site_fract_z
Pm1 0.0000 0.2500 0.1250
Al1 0.0000 0.0000 0.0000
Al2 0.0000 0.2500 0.3750
Se1 0.0282 0.0575 0.6486
```

---

No. 10
A relaxed Pm7AlSe5 crystal, computed with PBE-GGA.

CIF file:
```
data_Pm7AlSe5
_chemical_formula_sum 'Pm28 Al4 Se20'
_cell_length_a 4.1434
_cell_length_b 13.8663
_cell_length_c 24.9448
_cell_angle_alpha 90.00
_cell_angle_beta 90.00
_cell_angle_gamma 90.00
_symmetry_space_group_name_H-M 'C m c m'
_symmetry_Int_Tables_number 63
_symmetry_space_group_name_Hall '-C 2c 2'
loop_
_atom_site_label
_atom_site_fract_x
_atom_site_fract_y
_atom_site_fract_z
Pm1 0.0000 0.0257 0.2500
Pm2 0.0000 0.1378 0.5362
Pm3 0.0000 0.3118 0.1784
Pm4 0.0000 0.4085 0.6143
Al1 0.0000 0.3096 0.7500
Se1 0.0000 0.0511 0.6420
Se2 0.0000 0.2243 0.0719
Se3 0.0000 0.5000 0.0000
```

---

Number 1: formation energy without anion corrections -0.92 eV/atom, uncorrected energy -5.100 eV/atom. Number 2: formation energy without anion corrections -0.91 eV/atom, uncorrected energy -5.087 eV/atom. Number 3: formation energy without anion corrections -1.64 eV/atom, uncorrected energy -5.535 eV/atom. Number 4: formation energy without anion corrections -0.83 eV/atom, uncorrected energy -4.493 eV/atom. Number 5: formation energy without anion corrections -0.76 eV/atom, uncorrected energy -4.623 eV/atom. Number 6: formation energy without anion corrections -1.33 eV/atom, uncorrected energy -5.493 eV/atom. Number 7: formation energy without anion corrections -1.35 eV/atom, uncorrected energy -5.135 eV/atom. Number 8: formation energy without anion corrections -1.16 eV/atom, uncorrected energy -4.986 eV/atom. Number 9: formation energy without anion corrections -1.23 eV/atom, uncorrected energy -4.973 eV/atom. Number 10: formation energy without anion corrections -1.46 eV/atom, uncorrected energy -5.650 eV/atom.